(1)
Tm2SiGeRh6: optimized geometry, PBE.

Properties
Raw formation energy ... -516.6 meV per atom

Geometry as POSCAR:
```
Tm2SiGeRh6
1.0
0.000 4.494 4.494
4.494 0.000 4.494
4.494 4.494 0.000
Tm Si Ge Rh
2 1 1 6
Direct
0.250 0.250 0.250
0.750 0.750 0.750
0.000 0.000 0.000
0.500 0.500 0.500
0.245 0.245 0.755
0.245 0.755 0.245
0.245 0.755 0.755
0.755 0.245 0.245
0.755 0.245 0.755
0.755 0.755 0.245
```

=====

(2)
YPuSc2: optimized geometry, PBE.

Properties
Energy above the lowest structure with this stoichiometry ... 13 meV per atom
Formation enthalpy at 0 K ... 116 meV/atom

Geometry as POSCAR:
```
YPuSc2
1.0
1.679 0.969 10.872
-1.679 0.969 10.872
0.000 -1.939 10.872
Y Pu Sc
1 1 2
Direct
0.000 0.000 0.000
0.500 0.500 0.500
0.248 0.248 0.248
0.752 0.752 0.752
```

=====

(3)
YMn2Mo: optimized geometry, PBE.

Properties
Energy above the lowest structure with this stoichiometry ... 356 meV per atom
Formation enthalpy at 0 K ... 561 meV/atom

Geometry as POSCAR:
```
YMn2Mo
1.0
1.565 0.903 8.404
-1.565 0.903 8.404
0.000 -1.807 8.404
Y Mn Mo
1 2 1
Direct
0.000 0.000 0.000
0.237 0.237 0.237
0.763 0.763 0.763
0.500 0.500 0.500
```

=====

(4)
Mn2GeW: optimized geometry, PBE.

Properties
Formation enthalpy at 0 K ... 617 meV/atom

Geometry as POSCAR:
```
Mn2GeW
1.0
-3.416 3.416 2.592
3.416 -3.416 2.592
3.416 3.416 -2.592
Mn Ge W
4 2 2
Direct
0.117 0.625 0.992
0.375 0.367 0.492
0.633 0.125 0.008
0.875 0.883 0.508
0.000 0.000 0.000
0.750 0.250 0.500
0.250 0.750 0.500
0.500 0.500 0.000
```

=====

(5)
SrAl2H7: optimized geometry, PBE.

Geometry as POSCAR:
```
SrAl2H7
1.0
2.956 -4.633 0.000
2.956 4.633 0.000
0.000 0.000 3.590
Sr Al H
1 2 7
Direct
0.000 0.000 0.000
0.310 0.690 0.500
0.690 0.310 0.500
0.051 0.334 0.500
0.289 0.711 0.000
0.334 0.051 0.500
0.500 0.500 0.500
0.666 0.949 0.500
0.711 0.289 0.000
0.949 0.666 0.500
```

=====

(6)
Ti2CuSiSn: optimized geometry, PBE.

Properties
Raw formation energy ... 307.0 meV per atom

Geometry as POSCAR:
```
Ti2CuSiSn
1.0
4.745 0.000 0.000
0.000 4.745 0.000
0.000 0.000 4.203
Ti Cu Si Sn
2 1 1 1
Direct
0.000 0.500 0.000
0.500 0.000 0.000
0.000 0.000 0.000
0.000 0.000 0.500
0.500 0.500 0.500
```

=====

Number 1: calculated total energy -6.8258 eV per atom. Number 2: calculated total energy -8.2489 eV per atom. Number 3: calculated total energy -8.3478 eV per atom. Number 4: calculated total energy -8.3607 eV per atom. Number 5: calculated total energy -3.3390 eV per atom. Number 6: calculated total energy -5.5553 eV per atom.